No. 1
# PBE LiTcHg2, relaxed
# Theoretical density: 11243 kg/m3
# Formation enthalpy at 0 K: 350 meV/atom
# Total magnetic moment: 0.001 μB/atom
data_LiTcHg2
_chemical_formula_sum 'Li1 Tc1 Hg2'
_symmetry_space_group_name_H-M 'P m m 2'
_symmetry_Int_Tables_number 25
_cell_length_a 2.879
_cell_length_b 4.608
_cell_length_c 5.635
_cell_angle_alpha 90.00
_cell_angle_beta 90.00
_cell_angle_gamma 90.00
loop_
_symmetry_equiv_pos_as_xyz
'x,y,z'
'-x,-y,z'
'-x,y,z'
'x,-y,z'
loop_
_atom_site_label
_atom_site_fract_x
_atom_site_fract_y
_atom_site_fract_z
_atom_site_occupancy
Li1 0.000 0.000 0.000 1
Tc1 0.500 0.500 0.310 1
Hg1 0.000 0.000 0.459 1
Hg2 0.500 0.500 0.818 1

---

No. 2
# PBE CaIr2Cl, relaxed
# Theoretical density: 8482 kg/m3
# Total magnetic moment: 0.000 μB/atom
# Formation energy (no corrections): -0.38 eV/atom
data_CaIr2Cl
_chemical_formula_sum 'Ca1 Ir2 Cl1'
_symmetry_space_group_name_H-M 'P 1 m 1'
_symmetry_Int_Tables_number 6
_cell_length_a 3.065
_cell_length_b 3.776
_cell_length_c 7.869
_cell_angle_alpha 90.00
_cell_angle_beta 98.62
_cell_angle_gamma 90.00
loop_
_symmetry_equiv_pos_as_xyz
'x,y,z'
'x,-y,z'
loop_
_atom_site_label
_atom_site_fract_x
_atom_site_fract_y
_atom_site_fract_z
_atom_site_occupancy
Ca1 0.000 0.000 0.000 1
Ir1 0.393 0.500 0.721 1
Ir2 0.856 0.000 0.626 1
Cl1 0.570 0.500 0.182 1

---

No. 3
# PBE Tb3Pr7Tm2, relaxed
# Theoretical density: 7245 kg/m3
# Formation enthalpy at 0 K: 103 meV/atom
# Total magnetic moment: 0.000 μB/atom
data_Tb3Pr7Tm2
_chemical_formula_sum 'Tb3 Pr7 Tm2'
_symmetry_space_group_name_H-M 'P 1 2/m 1'
_symmetry_Int_Tables_number 10
_cell_length_a 5.861
_cell_length_b 3.639
_cell_length_c 19.563
_cell_angle_alpha 90.00
_cell_angle_beta 98.39
_cell_angle_gamma 90.00
loop_
_symmetry_equiv_pos_as_xyz
'x,y,z'
'-x,-y,-z'
'-x,y,-z'
'x,-y,z'
loop_
_atom_site_label
_atom_site_fract_x
_atom_site_fract_y
_atom_site_fract_z
_atom_site_occupancy
Tb1 0.000 0.000 0.000 1
Tb2 0.317 0.500 0.632 1
Pr1 0.075 0.500 0.146 1
Pr2 0.232 0.000 0.465 1
Pr3 0.404 0.000 0.810 1
Pr4 0.500 0.500 0.000 1
Tm1 0.149 0.000 0.298 1